1.
A relaxed SrCd2InGa crystal, computed with PBE.

Summary:
mass density	6.45	g/cm3
space-group type	I4mm, No. 107
electronic total energy	-2.16	eV/atom

Cell: 4.590 4.590 12.141 Å, 90.00 90.00 90.00°
Fractional positions:
Sr: 0.000 0.000 0.000
Sr: 0.500 0.500 0.500
Cd: 0.000 0.500 0.238
Cd: 0.000 0.500 0.738
Cd: 0.500 0.000 0.238
Cd: 0.500 0.000 0.738
In: 0.000 0.000 0.388
In: 0.500 0.500 0.888
Ga: 0.000 0.000 0.609
Ga: 0.500 0.500 0.109

---

2.
A relaxed TbTm2Cd3InGa2 crystal, computed with PBE.

Summary:
mass density	8.76	g/cm3
space-group type	Amm2, No. 38
electronic total energy	-3.25	eV/atom

Cell: 4.495 7.287 7.287 Å, 120.22 90.00 90.00°
Fractional positions:
Tb: 0.000 0.000 0.000
Tm: 0.000 0.125 0.563
Tm: 0.000 0.563 0.125
Cd: 0.500 0.308 0.308
Cd: 0.500 0.562 0.818
Cd: 0.500 0.818 0.562
In: 0.000 0.561 0.561
Ga: 0.500 0.230 0.895
Ga: 0.500 0.895 0.230

---

3.
A relaxed Tb2TmCd3InGa2 crystal, computed with PBE.

Summary:
mass density	8.59	g/cm3
space-group type	Amm2, No. 38
electronic total energy	-3.28	eV/atom

Cell: 4.508 7.300 7.300 Å, 119.78 90.00 90.00°
Fractional positions:
Tb: 0.000 0.219 0.781
Tb: 0.000 0.781 0.219
Tm: 0.000 0.344 0.344
Cd: 0.500 0.037 0.037
Cd: 0.500 0.526 0.781
Cd: 0.500 0.781 0.526
In: 0.000 0.780 0.780
Ga: 0.500 0.116 0.447
Ga: 0.500 0.447 0.116